1.
An optimized crystal structure of Na5VO5, computed with GGA+U.

Cell lengths 5.865, 16.297, 6.661 Å; angles 90.00, 90.00, 90.00 degrees
Space group Pbcm (No. 57)
Symmetry-distinct sites (fractional):
1 Na 0.003 0.231 0.250 (multiplicity 4)
2 Na 0.207 0.583 0.014 (multiplicity 8)
3 Na 0.339 0.085 0.250 (multiplicity 4)
4 Na 0.491 0.250 0.000 (multiplicity 4)
5 V 0.226 0.093 0.750 (multiplicity 4)
6 O 0.034 0.012 0.750 (multiplicity 4)
7 O 0.167 0.154 0.538 (multiplicity 8)
8 O 0.348 0.673 0.250 (multiplicity 4)
9 O 0.494 0.556 0.750 (multiplicity 4)

Output
* D(E_F): 0.00 states/eV/f.u.
* magnetic moment: 0.1 μB per formula unit
* mass density: 2.57 g/cm3

---

2.
An optimized crystal structure of Na5VO5, computed with GGA+U.

Cell lengths 6.236, 10.078, 9.976 Å; angles 90.00, 107.33, 90.00 degrees
Space group C2/c (No. 15)
Symmetry-distinct sites (fractional):
1 Na 0.000 0.166 0.250 (multiplicity 4)
2 Na 0.172 0.114 0.553 (multiplicity 8)
3 Na 0.175 0.347 0.081 (multiplicity 8)
4 V 0.000 0.406 0.750 (multiplicity 4)
5 O 0.000 0.415 0.250 (multiplicity 4)
6 O 0.123 0.330 0.624 (multiplicity 8)
7 O 0.208 0.107 0.109 (multiplicity 8)

Output
* D(E_F): 0.00 states/eV/f.u.
* magnetic moment: 0.0 μB per formula unit
* mass density: 2.73 g/cm3

---

Which one is most stable, and which one is least stable? 1 is the most stable of them, while 2 is the least stable.

---

1.
An optimized crystal structure of Na2VO, computed with GGA+U.

Cell lengths 6.673, 6.673, 6.673 Å; angles 90.00, 90.00, 90.00 degrees
Space group Fm-3m (No. 225)
Symmetry-distinct sites (fractional):
1 Na 0.250 0.250 0.250 (multiplicity 8)
2 V 0.000 0.000 0.000 (multiplicity 4)
3 O 0.000 0.000 0.500 (multiplicity 4)

Output
* D(E_F): 2.85 states/eV/f.u.
* magnetic moment: 4.4 μB per formula unit
* mass density: 2.52 g/cm3

---

2.
An optimized crystal structure of Na2VO, computed with GGA+U.

Cell lengths 10.114, 10.114, 3.775 Å; angles 90.00, 90.00, 90.00 degrees
Space group I-42d (No. 122)
Symmetry-distinct sites (fractional):
1 Na 0.092 0.250 0.125 (multiplicity 8)
2 V 0.000 0.000 0.500 (multiplicity 4)
3 O 0.000 0.000 0.000 (multiplicity 4)

Output
* D(E_F): 1.21 states/eV/f.u.
* magnetic moment: 2.7 μB per formula unit
* mass density: 1.94 g/cm3

---

Which one is most stable, and which one is least stable? 2 is the most stable of them, while 1 is the least stable.

---

1.
An optimized crystal structure of NaVWO6, computed with GGA+U.

Cell lengths 9.625, 3.768, 7.366 Å; angles 90.00, 113.18, 90.00 degrees
Space group Cm (No. 8)
Symmetry-distinct sites (fractional):
1 Na 0.000 0.000 0.000 (multiplicity 2)
2 V 0.185 0.000 0.642 (multiplicity 2)
3 W 0.324 0.500 0.387 (multiplicity 2)
4 O 0.021 0.000 0.685 (multiplicity 2)
5 O 0.173 0.500 0.151 (multiplicity 2)
6 O 0.201 0.500 0.571 (multiplicity 2)
7 O 0.313 0.000 0.453 (multiplicity 2)
8 O 0.322 0.000 0.864 (multiplicity 2)
9 O 0.484 0.500 0.318 (multiplicity 2)

Output
* D(E_F): 0.00 states/eV/f.u.
* magnetic moment: 0.0 μB per formula unit
* mass density: 4.78 g/cm3

---

2.
An optimized crystal structure of NaVWO6, computed with GGA+U.

Cell lengths 5.1370, 5.1370, 5.2415 Å; angles 90.00, 90.00, 120.00 degrees
Space group P3 (No. 143)
Symmetry-distinct sites (fractional):
1 Na 0.0000 0.0000 0.0000 (multiplicity 1)
2 V 0.3333 0.6667 0.5519 (multiplicity 1)
3 W 0.6667 0.3333 0.4548 (multiplicity 1)
4 O 0.0020 0.3845 0.7058 (multiplicity 3)
5 O 0.0092 0.6298 0.2935 (multiplicity 3)

Output
* D(E_F): 0.00 states/eV/f.u.
* magnetic moment: 0.0 μB per formula unit
* mass density: 4.90 g/cm3

---

Which one is most stable, and which one is least stable? 1 is the most stable of them, while 2 is the least stable.

---

1.
An optimized crystal structure of Na3W4O6, computed with GGA+U.

Cell lengths 7.352, 7.872, 7.841 Å; angles 90.00, 90.00, 90.00 degrees
Space group Imm2 (No. 44)
Symmetry-distinct sites (fractional):
1 Na 0.000 0.000 0.000 (multiplicity 2)
2 Na 0.000 0.000 0.436 (multiplicity 2)
3 Na 0.000 0.500 0.015 (multiplicity 2)
4 W 0.221 0.250 0.723 (multiplicity 8)
5 O 0.000 0.238 0.196 (multiplicity 4)
6 O 0.212 0.000 0.704 (multiplicity 4)
7 O 0.212 0.500 0.747 (multiplicity 4)

Output
* D(E_F): 1.90 states/eV/f.u.
* magnetic moment: 10.4 μB per formula unit
* mass density: 6.59 g/cm3

---

2.
An optimized crystal structure of Na3W4O6, computed with GGA+U.

Cell lengths 7.712, 8.049, 6.567 Å; angles 90.00, 90.00, 90.00 degrees
Space group Imm2 (No. 44)
Symmetry-distinct sites (fractional):
1 Na 0.000 0.000 0.000 (multiplicity 2)
2 Na 0.000 0.000 0.461 (multiplicity 2)
3 Na 0.000 0.500 0.018 (multiplicity 2)
4 W 0.238 0.251 0.735 (multiplicity 8)
5 O 0.000 0.241 0.227 (multiplicity 4)
6 O 0.206 0.000 0.727 (multiplicity 4)
7 O 0.215 0.500 0.750 (multiplicity 4)

Output
* D(E_F): 0.49 states/eV/f.u.
* magnetic moment: 9.9 μB per formula unit
* mass density: 7.33 g/cm3

---

Which one is most stable, and which one is least stable? 2 is the most stable of them, while 1 is the least stable.